ZrCuSCl2 | PBE | relaxed

Cell lengths 4.515, 4.515, 4.877 Å; angles 90.00, 90.00, 90.00 degrees
Space group P4/mmm (No. 123)
Asymmetric unit:
Zr: 0.000 0.000 0.000 [1 per cell]
Cu: 0.500 0.500 0.500 [1 per cell]
S: 0.500 0.500 0.000 [1 per cell]
Cl: 0.000 0.500 0.500 [2 per cell]

Output
* DFT total energy: -21.2 eV for the cell shown
* ΔE to the lowest computed polymorph: 2.13 eV per formula unit
* theoretical density: 4.31 Mg/m³
* N(E_F): 5.721 states/eV/f.u.